## Rb2NaBF6 (GGA-PBE)

Data for an optimized crystal structure of Rb2NaBF6.

Its magnetic moment is 0.0000 μB/atom. The calculation puts the formation energy from raw total energies at -2.58 eV per atom. Its crystal system is cubic. The total energy is -4.692 eV/atom.

The structure belongs to space group Fm-3m (No. 225); the cell edges are 8.171, 8.171 and 8.171 Å and the angles 90.00°, 90.00° and 90.00°. The inequivalent atoms are Rb at (0.250, 0.250, 0.250), Na at (0.000, 0.000, 0.000), B at (0.000, 0.000, 0.500) and F at (0.000, 0.000, 0.296).